No. 1
# PBE-GGA Mg6Ga2Sn, optimized geometry
data_Mg6Ga2Sn
_space_group_name_H-M_alt 'P 1'
_space_group_IT_number 1
_space_group_name_Hall 'P 1'
_cell_length_a 4.926
_cell_length_b 5.847
_cell_length_c 7.905
_cell_angle_alpha 82.46
_cell_angle_beta 71.85
_cell_angle_gamma 65.08
loop_
_atom_site_label
_atom_site_type_symbol
_atom_site_fract_x
_atom_site_fract_y
_atom_site_fract_z
_atom_site_occupancy
Ga1 Ga 0.666 0.500 0.168 1
Ga2 Ga 0.334 0.500 0.832 1
Mg1 Mg 0.328 0.187 0.157 1
Mg2 Mg 0.337 0.826 0.500 1
Mg3 Mg 0.985 0.187 0.843 1
Mg4 Mg 0.663 0.174 0.500 1
Mg5 Mg 0.672 0.813 0.843 1
Mg6 Mg 0.015 0.813 0.157 1
Sn1 Sn 0.000 0.500 0.500 1
# Fermi-level density of states ... 2.7 states/eV per cell
# Energy above the lowest structure with this stoichiometry ... 0.33 eV/f.u.

No. 2
# PBE-GGA SrMg2Ga2Sn2, optimized geometry
data_SrMg2Ga2Sn2
_space_group_name_H-M_alt 'P 1'
_space_group_IT_number 1
_space_group_name_Hall 'P 1'
_cell_length_a 4.944
_cell_length_b 4.944
_cell_length_c 8.982
_cell_angle_alpha 74.03
_cell_angle_beta 74.03
_cell_angle_gamma 60.00
loop_
_atom_site_label
_atom_site_type_symbol
_atom_site_fract_x
_atom_site_fract_y
_atom_site_fract_z
_atom_site_occupancy
Mg1 Mg 0.138 0.138 0.585 1
Mg2 Mg 0.862 0.862 0.415 1
Sr1 Sr 0.000 0.000 0.000 1
Ga1 Ga 0.444 0.444 0.668 1
Ga2 Ga 0.556 0.556 0.332 1
Sn1 Sn 0.747 0.747 0.758 1
Sn2 Sn 0.253 0.253 0.242 1
# Fermi-level density of states ... 2.9 states/eV per cell

No. 3
# PBE-GGA SrMg2GaSn2, optimized geometry
data_SrMg2GaSn2
_space_group_name_H-M_alt 'P 1'
_space_group_IT_number 1
_space_group_name_Hall 'P 1'
_cell_length_a 5.077
_cell_length_b 9.114
_cell_length_c 6.732
_cell_angle_alpha 90.00
_cell_angle_beta 90.00
_cell_angle_gamma 90.00
loop_
_atom_site_label
_atom_site_type_symbol
_atom_site_fract_x
_atom_site_fract_y
_atom_site_fract_z
_atom_site_occupancy
Sn1 Sn 0.000 0.677 0.760 1
Sn2 Sn 0.500 0.823 0.260 1
Sn3 Sn 0.000 0.323 0.240 1
Sn4 Sn 0.500 0.177 0.740 1
Mg1 Mg 0.000 0.350 0.698 1
Mg2 Mg 0.500 0.850 0.802 1
Mg3 Mg 0.000 0.650 0.302 1
Mg4 Mg 0.500 0.150 0.198 1
Sr1 Sr 0.000 0.000 0.500 1
Sr2 Sr 0.500 0.500 0.000 1
Ga1 Ga 0.500 0.500 0.500 1
Ga2 Ga 0.000 0.000 0.000 1
# Fermi-level density of states ... 4.8 states/eV per cell

No. 4
# PBE-GGA SrMgGaSn, optimized geometry
data_SrMgGaSn
_space_group_name_H-M_alt 'P 1'
_space_group_IT_number 1
_space_group_name_Hall 'P 1'
_cell_length_a 5.316
_cell_length_b 5.316
_cell_length_c 5.316
_cell_angle_alpha 60.00
_cell_angle_beta 60.00
_cell_angle_gamma 60.00
loop_
_atom_site_label
_atom_site_type_symbol
_atom_site_fract_x
_atom_site_fract_y
_atom_site_fract_z
_atom_site_occupancy
Mg1 Mg 0.500 0.500 0.500 1
Ga1 Ga 0.750 0.750 0.750 1
Sr1 Sr 0.000 0.000 0.000 1
Sn1 Sn 0.250 0.250 0.250 1
# Fermi-level density of states ... 1.9 states/eV per cell

No. 5
# PBE-GGA SrMgGaSn2, optimized geometry
data_SrMgGaSn2
_space_group_name_H-M_alt 'P 1'
_space_group_IT_number 1
_space_group_name_Hall 'P 1'
_cell_length_a 4.560
_cell_length_b 4.560
_cell_length_c 7.422
_cell_angle_alpha 107.89
_cell_angle_beta 107.89
_cell_angle_gamma 90.00
loop_
_atom_site_label
_atom_site_type_symbol
_atom_site_fract_x
_atom_site_fract_y
_atom_site_fract_z
_atom_site_occupancy
Ga1 Ga 0.250 0.750 0.500 1
Mg1 Mg 0.750 0.250 0.500 1
Sn1 Sn 0.386 0.386 0.771 1
Sn2 Sn 0.614 0.614 0.229 1
Sr1 Sr 0.000 0.000 0.000 1
# Fermi-level density of states ... 1.9 states/eV per cell

No. 6
# PBE-GGA Sr2Mg4GaSn3, optimized geometry
data_Sr2Mg4GaSn3
_space_group_name_H-M_alt 'P 1'
_space_group_IT_number 1
_space_group_name_Hall 'P 1'
_cell_length_a 4.726
_cell_length_b 4.726
_cell_length_c 12.279
_cell_angle_alpha 90.00
_cell_angle_beta 90.00
_cell_angle_gamma 90.00
loop_
_atom_site_label
_atom_site_type_symbol
_atom_site_fract_x
_atom_site_fract_y
_atom_site_fract_z
_atom_site_occupancy
Sn1 Sn 0.000 0.500 0.142 1
Sn2 Sn 0.000 0.000 0.500 1
Sn3 Sn 0.500 0.000 0.858 1
Ga1 Ga 0.500 0.500 0.500 1
Mg1 Mg 0.000 0.500 0.370 1
Mg2 Mg 0.500 0.000 0.630 1
Mg3 Mg 0.500 0.500 0.000 1
Mg4 Mg 0.000 0.000 0.000 1
Sr1 Sr 0.000 0.500 0.742 1
Sr2 Sr 0.500 0.000 0.258 1
# Fermi-level density of states ... 2.6 states/eV per cell

No. 7
# PBE-GGA ThMgGaSn, optimized geometry
data_ThMgGaSn
_space_group_name_H-M_alt 'P 1'
_space_group_IT_number 1
_space_group_name_Hall 'P 1'
_cell_length_a 5.190
_cell_length_b 5.190
_cell_length_c 5.190
_cell_angle_alpha 60.00
_cell_angle_beta 60.00
_cell_angle_gamma 60.00
loop_
_atom_site_label
_atom_site_type_symbol
_atom_site_fract_x
_atom_site_fract_y
_atom_site_fract_z
_atom_site_occupancy
Mg1 Mg 0.000 0.000 0.000 1
Th1 Th 0.500 0.500 0.500 1
Ga1 Ga 0.750 0.750 0.750 1
Sn1 Sn 0.250 0.250 0.250 1
# Fermi-level density of states ... 2.8 states/eV per cell

No. 8
# PBE-GGA MgTlGaSn, optimized geometry
data_MgTlGaSn
_space_group_name_H-M_alt 'P 1'
_space_group_IT_number 1
_space_group_name_Hall 'P 1'
_cell_length_a 5.206
_cell_length_b 5.206
_cell_length_c 5.206
_cell_angle_alpha 60.00
_cell_angle_beta 60.00
_cell_angle_gamma 60.00
loop_
_atom_site_label
_atom_site_type_symbol
_atom_site_fract_x
_atom_site_fract_y
_atom_site_fract_z
_atom_site_occupancy
Sn1 Sn 0.750 0.750 0.750 1
Mg1 Mg 0.000 0.000 0.000 1
Ga1 Ga 0.500 0.500 0.500 1
Tl1 Tl 0.250 0.250 0.250 1
# Fermi-level density of states ... 0.6 states/eV per cell

No. 9
# PBE-GGA TmMgGaSn, optimized geometry
data_TmMgGaSn
_space_group_name_H-M_alt 'P 1'
_space_group_IT_number 1
_space_group_name_Hall 'P 1'
_cell_length_a 4.299
_cell_length_b 4.489
_cell_length_c 4.591
_cell_angle_alpha 90.00
_cell_angle_beta 90.00
_cell_angle_gamma 90.00
loop_
_atom_site_label
_atom_site_type_symbol
_atom_site_fract_x
_atom_site_fract_y
_atom_site_fract_z
_atom_site_occupancy
Ga1 Ga 0.000 0.500 0.500 1
Sn1 Sn 0.000 0.000 0.000 1
Mg1 Mg 0.500 0.500 0.000 1
Tm1 Tm 0.500 0.000 0.500 1
# Fermi-level density of states ... 2.2 states/eV per cell
# Energy above the lowest structure with this stoichiometry ... 0.00 eV/f.u.

No. 10
# PBE-GGA TmMgGaSn, optimized geometry
data_TmMgGaSn
_space_group_name_H-M_alt 'P 1'
_space_group_IT_number 1
_space_group_name_Hall 'P 1'
_cell_length_a 5.078
_cell_length_b 5.078
_cell_length_c 5.078
_cell_angle_alpha 60.00
_cell_angle_beta 60.00
_cell_angle_gamma 60.00
loop_
_atom_site_label
_atom_site_type_symbol
_atom_site_fract_x
_atom_site_fract_y
_atom_site_fract_z
_atom_site_occupancy
Ga1 Ga 0.250 0.250 0.250 1
Tm1 Tm 0.000 0.000 0.000 1
Mg1 Mg 0.500 0.500 0.500 1
Sn1 Sn 0.750 0.750 0.750 1
# Fermi-level density of states ... 3.7 states/eV per cell
# Energy above the lowest structure with this stoichiometry ... 0.64 eV/f.u.

No. 11
# PBE-GGA YMgGaSn, optimized geometry
data_YMgGaSn
_space_group_name_H-M_alt 'P 1'
_space_group_IT_number 1
_space_group_name_Hall 'P 1'
_cell_length_a 4.331
_cell_length_b 4.530
_cell_length_c 4.631
_cell_angle_alpha 90.00
_cell_angle_beta 90.00
_cell_angle_gamma 90.00
loop_
_atom_site_label
_atom_site_type_symbol
_atom_site_fract_x
_atom_site_fract_y
_atom_site_fract_z
_atom_site_occupancy
Ga1 Ga 0.000 0.500 0.500 1
Sn1 Sn 0.000 0.000 0.000 1
Mg1 Mg 0.500 0.500 0.000 1
Y1 Y 0.500 0.000 0.500 1
# Fermi-level density of states ... 2.2 states/eV per cell

No. 12
# PBE-GGA SrMgGa6, optimized geometry
data_SrMgGa6
_space_group_name_H-M_alt 'P 1'
_space_group_IT_number 1
_space_group_name_Hall 'P 1'
_cell_length_a 4.861
_cell_length_b 5.250
_cell_length_c 6.759
_cell_angle_alpha 90.00
_cell_angle_beta 90.00
_cell_angle_gamma 90.00
loop_
_atom_site_label
_atom_site_type_symbol
_atom_site_fract_x
_atom_site_fract_y
_atom_site_fract_z
_atom_site_occupancy
Ga1 Ga 0.500 0.871 0.696 1
Ga2 Ga 0.500 0.210 0.000 1
Ga3 Ga 0.000 0.164 0.705 1
Ga4 Ga 0.000 0.164 0.295 1
Ga5 Ga 0.000 0.683 0.500 1
Ga6 Ga 0.500 0.871 0.304 1
Mg1 Mg 0.500 0.376 0.500 1
Sr1 Sr 0.000 0.662 0.000 1
# Fermi-level density of states ... 3.7 states/eV per cell

Total energy in eV per atom, matching the order above: -2.251; -2.953; -2.910; -2.861; -3.210; -2.879; -4.262; -2.746; -3.720; -3.561; -4.262; -2.875
Energy of formation in kJ/mol of atoms, matching the order above: -6.8; -24.0; -25.1; -27.4; -33.6; -38.7; -24.2; 0.2; -43.0; -27.7; -47.2; -18.8